# FePPt PBE optimized geometry
data_FePPt
_symmetry_space_group_name_H-M 'F -4 3 m'
_symmetry_Int_Tables_number 216
_symmetry_space_group_name_Hall 'F -4 2 3'
_cell_length_a 5.458
_cell_length_b 5.458
_cell_length_c 5.458
_cell_angle_alpha 90.00
_cell_angle_beta 90.00
_cell_angle_gamma 90.00
loop_
_atom_site_label
_atom_site_fract_x
_atom_site_fract_y
_atom_site_fract_z
Fe1 0.000 0.000 0.000
P1 0.250 0.250 0.250
Pt1 0.000 0.000 0.500
# Calculated volume ... 163 Å³/cell
# ΔH_f (0 K) ... -0.373 eV per atom
# E ... -7.0105 eV/atom